Model one:
{"formula": "RbPS2O", "functional": "PBE", "state": "relaxed", "lattice_angstrom": [[6.1561, 0.0000, 0.0000], [0.0000, 6.1561, 0.0000], [0.0000, 0.0000, 3.2727]], "species": ["Rb", "P", "S", "S", "O"], "frac_coords": [[0.0000, 0.0000, 0.0000], [0.5000, 0.5000, 0.0000], [0.0000, 0.5000, 0.5000], [0.5000, 0.0000, 0.5000], [0.5000, 0.5000, 0.5000]], "magmom_total_mub_per_cell": 0.895, "crystal_system": "tetragonal", "spacegroup": "P4/mmm, No. 123", "n_ef_per_ev_cell": 4.327}



Model two:
{"formula": "RbPS2O", "functional": "PBE", "state": "relaxed", "lattice_angstrom": [[4.4069, 0.0000, 0.0000], [0.0000, 4.4069, 0.0000], [0.0000, 0.0000, 7.8731]], "species": ["Rb", "P", "S", "S", "O"], "frac_coords": [[0.0000, 0.0000, 0.0000], [0.0000, 0.0000, 0.5000], [0.0000, 0.5000, 0.5000], [0.5000, 0.0000, 0.5000], [0.5000, 0.5000, 0.0000]], "magmom_total_mub_per_cell": 1.206, "crystal_system": "tetragonal", "spacegroup": "P4/mmm, No. 123", "n_ef_per_ev_cell": 7.122}



model two comes first in stability; the runner-up is 8.6 kJ/mol of atoms higher.



Model one:
{"formula": "RbP2SO", "functional": "PBE", "state": "relaxed", "lattice_angstrom": [[7.3061, 0.0000, 0.0000], [0.0000, 7.3061, 0.0000], [0.0000, 0.0000, 6.4483]], "species": ["Rb", "P", "P", "S", "O"], "frac_coords": [[0.0000, 0.0000, 0.0000], [0.0000, 0.5000, 0.0000], [0.5000, 0.0000, 0.0000], [0.0000, 0.0000, 0.5000], [0.5000, 0.5000, 0.5000]], "magmom_total_mub_per_cell": 9.000, "crystal_system": "tetragonal", "spacegroup": "P4/mmm, No. 123", "n_ef_per_ev_cell": 14.164}



Model two:
{"formula": "RbP2SO", "functional": "PBE", "state": "relaxed", "lattice_angstrom": [[4.1112, 0.0000, 0.0000], [0.0000, 4.1112, 0.0000], [0.0000, 0.0000, 6.5935]], "species": ["Rb", "P", "P", "S", "O"], "frac_coords": [[0.0000, 0.0000, 0.0000], [0.0000, 0.5000, 0.5000], [0.5000, 0.0000, 0.5000], [0.5000, 0.5000, 0.0000], [0.5000, 0.5000, 0.5000]], "magmom_total_mub_per_cell": 0.000, "crystal_system": "tetragonal", "spacegroup": "P4/mmm, No. 123", "n_ef_per_ev_cell": 5.687}



model two comes first in stability; the runner-up is 145.8 kJ/mol of atoms higher.



Model one:
{"formula": "RbP2SO", "functional": "PBE", "state": "relaxed", "lattice_angstrom": [[6.3617, 0.0000, 0.0000], [0.0000, 6.3617, 0.0000], [0.0000, 0.0000, 4.4390]], "species": ["Rb", "P", "P", "S", "O"], "frac_coords": [[0.0000, 0.0000, 0.0000], [0.0000, 0.5000, 0.0000], [0.5000, 0.0000, 0.0000], [0.5000, 0.5000, 0.5000], [0.0000, 0.0000, 0.5000]], "magmom_total_mub_per_cell": 4.127, "crystal_system": "tetragonal", "spacegroup": "P4/mmm, No. 123", "n_ef_per_ev_cell": 6.365}



Model two:
{"formula": "RbP2SO", "functional": "PBE", "state": "relaxed", "lattice_angstrom": [[4.6838, 0.0000, 0.0000], [0.0000, 4.6838, 0.0000], [0.0000, 0.0000, 4.5786]], "species": ["Rb", "P", "P", "S", "O"], "frac_coords": [[0.0000, 0.0000, 0.0000], [0.0000, 0.5000, 0.5000], [0.5000, 0.0000, 0.5000], [0.5000, 0.5000, 0.5000], [0.5000, 0.5000, 0.0000]], "magmom_total_mub_per_cell": 1.533, "crystal_system": "tetragonal", "spacegroup": "P4/mmm, No. 123", "n_ef_per_ev_cell": 2.823}



model two comes first in stability; the runner-up is 127.3 kJ/mol of atoms higher.



Model one:
{"formula": "RbSbP2O", "functional": "PBE", "state": "relaxed", "lattice_angstrom": [[5.3520, 0.0000, 0.0000], [0.0000, 5.3520, 0.0000], [0.0000, 0.0000, 4.2582]], "species": ["Rb", "Sb", "P", "P", "O"], "frac_coords": [[0.0000, 0.0000, 0.0000], [0.5000, 0.5000, 0.5000], [0.0000, 0.5000, 0.0000], [0.5000, 0.0000, 0.0000], [0.0000, 0.0000, 0.5000]], "magmom_total_mub_per_cell": 0.400, "crystal_system": "tetragonal", "spacegroup": "P4/mmm, No. 123", "n_ef_per_ev_cell": 3.532}



Model two:
{"formula": "RbSbP2O", "functional": "PBE", "state": "relaxed", "lattice_angstrom": [[5.3558, 0.0000, 0.0000], [0.0000, 5.3558, 0.0000], [0.0000, 0.0000, 4.2014]], "species": ["Rb", "Sb", "P", "P", "O"], "frac_coords": [[0.0000, 0.0000, 0.0000], [0.5000, 0.5000, 0.5000], [0.0000, 0.5000, 0.5000], [0.5000, 0.0000, 0.5000], [0.5000, 0.5000, 0.0000]], "magmom_total_mub_per_cell": 2.229, "crystal_system": "tetragonal", "spacegroup": "P4/mmm, No. 123", "n_ef_per_ev_cell": 2.359}



model two comes first in stability; the runner-up is 128.5 kJ/mol of atoms higher.



Model one:
{"formula": "RbSbPO2", "functional": "PBE", "state": "relaxed", "lattice_angstrom": [[4.2634, 0.0000, 0.0000], [0.0000, 4.2634, 0.0000], [0.0000, 0.0000, 5.1984]], "species": ["Rb", "Sb", "P", "O", "O"], "frac_coords": [[0.0000, 0.0000, 0.0000], [0.5000, 0.5000, 0.5000], [0.5000, 0.5000, 0.0000], [0.0000, 0.5000, 0.5000], [0.5000, 0.0000, 0.5000]], "magmom_total_mub_per_cell": 1.452, "crystal_system": "tetragonal", "spacegroup": "P4/mmm, No. 123", "n_ef_per_ev_cell": 2.375}



Model two:
{"formula": "RbSbPO2", "functional": "PBE", "state": "relaxed", "lattice_angstrom": [[4.2776, 0.0000, 0.0000], [0.0000, 4.2776, 0.0000], [0.0000, 0.0000, 6.2148]], "species": ["Rb", "Sb", "P", "O", "O"], "frac_coords": [[0.0000, 0.0000, 0.0000], [0.5000, 0.5000, 0.5000], [0.0000, 0.0000, 0.5000], [0.0000, 0.5000, 0.0000], [0.5000, 0.0000, 0.0000]], "magmom_total_mub_per_cell": 1.164, "crystal_system": "tetragonal", "spacegroup": "P4/mmm, No. 123", "n_ef_per_ev_cell": 3.922}



model one comes first in stability; the runner-up is 142.6 kJ/mol of atoms higher.



Model one:
{"formula": "RbP2SeO", "functional": "PBE", "state": "relaxed", "lattice_angstrom": [[5.0652, 0.0000, 0.0000], [0.0000, 5.0652, 0.0000], [0.0000, 0.0000, 4.2533]], "species": ["Rb", "P", "P", "Se", "O"], "frac_coords": [[0.0000, 0.0000, 0.0000], [0.0000, 0.5000, 0.5000], [0.5000, 0.0000, 0.5000], [0.5000, 0.5000, 0.5000], [0.5000, 0.5000, 0.0000]], "magmom_total_mub_per_cell": 1.987, "crystal_system": "tetragonal", "spacegroup": "P4/mmm, No. 123", "n_ef_per_ev_cell": 2.374}



Model two:
{"formula": "RbP2SeO", "functional": "PBE", "state": "relaxed", "lattice_angstrom": [[6.1409, 0.0000, 0.0000], [0.0000, 6.1409, 0.0000], [0.0000, 0.0000, 4.3551]], "species": ["Rb", "P", "P", "Se", "O"], "frac_coords": [[0.0000, 0.0000, 0.0000], [0.0000, 0.5000, 0.0000], [0.5000, 0.0000, 0.0000], [0.5000, 0.5000, 0.5000], [0.0000, 0.0000, 0.5000]], "magmom_total_mub_per_cell": 3.971, "crystal_system": "tetragonal", "spacegroup": "P4/mmm, No. 123", "n_ef_per_ev_cell": 5.168}



model one comes first in stability; the runner-up is 123.4 kJ/mol of atoms higher.



Model one:
{"formula": "RbSiP2O", "functional": "PBE", "state": "relaxed", "lattice_angstrom": [[5.3161, 0.0000, 0.0000], [0.0000, 5.3161, 0.0000], [0.0000, 0.0000, 3.3415]], "species": ["Rb", "Si", "P", "P", "O"], "frac_coords": [[0.0000, 0.0000, 0.0000], [0.5000, 0.5000, 0.5000], [0.0000, 0.5000, 0.5000], [0.5000, 0.0000, 0.5000], [0.5000, 0.5000, 0.0000]], "magmom_total_mub_per_cell": 0.005, "crystal_system": "tetragonal", "spacegroup": "P4/mmm, No. 123", "n_ef_per_ev_cell": 4.383}



Model two:
{"formula": "RbSiP2O", "functional": "PBE", "state": "relaxed", "lattice_angstrom": [[5.3649, 0.0000, 0.0000], [0.0000, 5.3649, 0.0000], [0.0000, 0.0000, 4.2569]], "species": ["Rb", "Si", "P", "P", "O"], "frac_coords": [[0.0000, 0.0000, 0.0000], [0.5000, 0.5000, 0.5000], [0.0000, 0.5000, 0.0000], [0.5000, 0.0000, 0.0000], [0.0000, 0.0000, 0.5000]], "magmom_total_mub_per_cell": 1.135, "crystal_system": "tetragonal", "spacegroup": "P4/mmm, No. 123", "n_ef_per_ev_cell": 3.827}



model one comes first in stability; the runner-up is 184.4 kJ/mol of atoms higher.



Model one:
{"formula": "Rb2SrP2O7", "functional": "PBE", "state": "relaxed", "lattice_angstrom": [[3.0442, 1.7576, 6.8937], [-3.0442, 1.7576, 6.8937], [0.0000, -3.5151, 6.8937]], "species": ["Rb", "Rb", "Sr", "P", "P", "O", "O", "O", "O", "O", "O", "O"], "frac_coords": [[0.2408, 0.2408, 0.2408], [0.7592, 0.7592, 0.7592], [0.0000, 0.0000, 0.0000], [0.4221, 0.4221, 0.4221], [0.5779, 0.5779, 0.5779], [0.2622, 0.2622, 0.6825], [0.2622, 0.6825, 0.2622], [0.3175, 0.7378, 0.7378], [0.5000, 0.5000, 0.5000], [0.6825, 0.2622, 0.2622], [0.7378, 0.3175, 0.7378], [0.7378, 0.7378, 0.3175]], "magmom_total_mub_per_cell": 0.000, "crystal_system": "trigonal", "spacegroup": "R-3m, No. 166", "n_ef_per_ev_cell": 0.000}



Model two:
{"formula": "Rb2SrP2O7", "functional": "PBE", "state": "relaxed", "lattice_angstrom": [[5.2049, -2.9782, 0.0000], [5.2049, 2.9782, 0.0000], [-3.9520, 0.0000, 13.1183]], "species": ["Rb", "Rb", "Rb", "Rb", "Sr", "Sr", "P", "P", "P", "P", "O", "O", "O", "O", "O", "O", "O", "O", "O", "O", "O", "O", "O", "O"], "frac_coords": [[0.0732, 0.6319, 0.8353], [0.3681, 0.9268, 0.6647], [0.6319, 0.0732, 0.3353], [0.9268, 0.3681, 0.1647], [0.0000, 0.5000, 0.5000], [0.5000, 0.0000, 0.0000], [0.2453, 0.7005, 0.1353], [0.2995, 0.7547, 0.3647], [0.7005, 0.2453, 0.6353], [0.7547, 0.2995, 0.8647], [0.0197, 0.2002, 0.9332], [0.1600, 0.8400, 0.2500], [0.1895, 0.5829, 0.3776], [0.2002, 0.0197, 0.4332], [0.3936, 0.4031, 0.1338], [0.4031, 0.3936, 0.6338], [0.4171, 0.8105, 0.1224], [0.5829, 0.1895, 0.8776], [0.5969, 0.6064, 0.3662], [0.6064, 0.5969, 0.8662], [0.7998, 0.9803, 0.5668], [0.8105, 0.4171, 0.6224], [0.8400, 0.1600, 0.7500], [0.9803, 0.7998, 0.0668]], "magmom_total_mub_per_cell": 0.000, "crystal_system": "monoclinic", "spacegroup": "C2/c, No. 15", "n_ef_per_ev_cell": 0.000}



model two comes first in stability; the runner-up is 2.9 kJ/mol of atoms higher.



Model one:
{"formula": "RbSrPO2", "functional": "PBE", "state": "relaxed", "lattice_angstrom": [[4.9184, 0.0000, 0.0000], [0.0000, 4.9184, 0.0000], [0.0000, 0.0000, 6.0368]], "species": ["Rb", "Sr", "P", "O", "O"], "frac_coords": [[0.0000, 0.0000, 0.0000], [0.5000, 0.5000, 0.5000], [0.5000, 0.5000, 0.0000], [0.0000, 0.5000, 0.5000], [0.5000, 0.0000, 0.5000]], "magmom_total_mub_per_cell": 4.003, "crystal_system": "tetragonal", "spacegroup": "P4/mmm, No. 123", "n_ef_per_ev_cell": 3.483}



Model two:
{"formula": "RbSrPO2", "functional": "PBE", "state": "relaxed", "lattice_angstrom": [[4.8585, 0.0000, 0.0000], [0.0000, 4.8585, 0.0000], [0.0000, 0.0000, 5.3537]], "species": ["Rb", "Sr", "P", "O", "O"], "frac_coords": [[0.0000, 0.0000, 0.0000], [0.5000, 0.5000, 0.5000], [0.0000, 0.0000, 0.5000], [0.0000, 0.5000, 0.0000], [0.5000, 0.0000, 0.0000]], "magmom_total_mub_per_cell": 2.803, "crystal_system": "tetragonal", "spacegroup": "P4/mmm, No. 123", "n_ef_per_ev_cell": 6.065}



model one comes first in stability; the runner-up is 58.0 kJ/mol of atoms higher.



Model one:
{"formula": "RbSrP2O", "functional": "PBE", "state": "relaxed", "lattice_angstrom": [[6.1430, 0.0000, 0.0000], [0.0000, 6.1430, 0.0000], [0.0000, 0.0000, 4.6141]], "species": ["Rb", "Sr", "P", "P", "O"], "frac_coords": [[0.0000, 0.0000, 0.0000], [0.5000, 0.5000, 0.5000], [0.0000, 0.5000, 0.5000], [0.5000, 0.0000, 0.5000], [0.5000, 0.5000, 0.0000]], "magmom_total_mub_per_cell": 5.013, "crystal_system": "tetragonal", "spacegroup": "P4/mmm, No. 123", "n_ef_per_ev_cell": 2.307}



Model two:
{"formula": "RbSrP2O", "functional": "PBE", "state": "relaxed", "lattice_angstrom": [[5.5186, 0.0000, 0.0000], [0.0000, 5.5186, 0.0000], [0.0000, 0.0000, 4.7625]], "species": ["Rb", "Sr", "P", "P", "O"], "frac_coords": [[0.0000, 0.0000, 0.0000], [0.5000, 0.5000, 0.5000], [0.0000, 0.5000, 0.0000], [0.5000, 0.0000, 0.0000], [0.0000, 0.0000, 0.5000]], "magmom_total_mub_per_cell": 2.525, "crystal_system": "tetragonal", "spacegroup": "P4/mmm, No. 123", "n_ef_per_ev_cell": 3.864}



model one comes first in stability; the runner-up is 53.5 kJ/mol of atoms higher.



Model one:
{"formula": "RbTaP2O", "functional": "PBE", "state": "relaxed", "lattice_angstrom": [[5.0581, 0.0000, 0.0000], [0.0000, 5.0581, 0.0000], [0.0000, 0.0000, 4.0429]], "species": ["Rb", "Ta", "P", "P", "O"], "frac_coords": [[0.0000, 0.0000, 0.0000], [0.5000, 0.5000, 0.5000], [0.0000, 0.5000, 0.0000], [0.5000, 0.0000, 0.0000], [0.0000, 0.0000, 0.5000]], "magmom_total_mub_per_cell": 1.351, "crystal_system": "tetragonal", "spacegroup": "P4/mmm, No. 123", "n_ef_per_ev_cell": 4.007}



Model two:
{"formula": "RbTaP2O", "functional": "PBE", "state": "relaxed", "lattice_angstrom": [[5.0594, 0.0000, 0.0000], [0.0000, 5.0594, 0.0000], [0.0000, 0.0000, 4.0361]], "species": ["Rb", "Ta", "P", "P", "O"], "frac_coords": [[0.0000, 0.0000, 0.0000], [0.5000, 0.5000, 0.5000], [0.0000, 0.5000, 0.5000], [0.5000, 0.0000, 0.5000], [0.5000, 0.5000, 0.0000]], "magmom_total_mub_per_cell": 0.273, "crystal_system": "tetragonal", "spacegroup": "P4/mmm, No. 123", "n_ef_per_ev_cell": 5.016}



model two comes first in stability; the runner-up is 249.0 kJ/mol of atoms higher.



Model one:
{"formula": "RbTeP2O", "functional": "PBE", "state": "relaxed", "lattice_angstrom": [[5.4479, 0.0000, 0.0000], [0.0000, 5.4479, 0.0000], [0.0000, 0.0000, 4.2336]], "species": ["Rb", "Te", "P", "P", "O"], "frac_coords": [[0.0000, 0.0000, 0.0000], [0.5000, 0.5000, 0.5000], [0.0000, 0.5000, 0.5000], [0.5000, 0.0000, 0.5000], [0.5000, 0.5000, 0.0000]], "magmom_total_mub_per_cell": 2.462, "crystal_system": "tetragonal", "spacegroup": "P4/mmm, No. 123", "n_ef_per_ev_cell": 3.308}



Model two:
{"formula": "RbTeP2O", "functional": "PBE", "state": "relaxed", "lattice_angstrom": [[5.4941, 0.0000, 0.0000], [0.0000, 5.4941, 0.0000], [0.0000, 0.0000, 4.2555]], "species": ["Rb", "Te", "P", "P", "O"], "frac_coords": [[0.0000, 0.0000, 0.0000], [0.5000, 0.5000, 0.5000], [0.0000, 0.5000, 0.0000], [0.5000, 0.0000, 0.0000], [0.0000, 0.0000, 0.5000]], "magmom_total_mub_per_cell": 0.958, "crystal_system": "tetragonal", "spacegroup": "P4/mmm, No. 123", "n_ef_per_ev_cell": 4.254}



model one comes first in stability; the runner-up is 123.1 kJ/mol of atoms higher.



Model one:
{"formula": "RbTePO2", "functional": "PBE", "state": "relaxed", "lattice_angstrom": [[4.3177, 0.0000, 0.0000], [0.0000, 4.3177, 0.0000], [0.0000, 0.0000, 5.2361]], "species": ["Rb", "Te", "P", "O", "O"], "frac_coords": [[0.0000, 0.0000, 0.0000], [0.5000, 0.5000, 0.5000], [0.5000, 0.5000, 0.0000], [0.0000, 0.5000, 0.5000], [0.5000, 0.0000, 0.5000]], "magmom_total_mub_per_cell": 1.236, "crystal_system": "tetragonal", "spacegroup": "P4/mmm, No. 123", "n_ef_per_ev_cell": 2.729}



Model two:
{"formula": "RbTePO2", "functional": "PBE", "state": "relaxed", "lattice_angstrom": [[4.2440, 0.0000, 0.0000], [0.0000, 4.2440, 0.0000], [0.0000, 0.0000, 7.6216]], "species": ["Rb", "Te", "P", "O", "O"], "frac_coords": [[0.0000, 0.0000, 0.0000], [0.5000, 0.5000, 0.5000], [0.0000, 0.0000, 0.5000], [0.0000, 0.5000, 0.0000], [0.5000, 0.0000, 0.0000]], "magmom_total_mub_per_cell": 1.805, "crystal_system": "tetragonal", "spacegroup": "P4/mmm, No. 123", "n_ef_per_ev_cell": 3.777}



model one comes first in stability; the runner-up is 128.7 kJ/mol of atoms higher.